#one
Compound: RbPI2N
Source: Alexandria via LeMat-Bulk
Functional: PBE
Structure: optimized geometry

Structure (POSCAR):
```
RbPI2N
1.0
6.594 0.000 0.000
0.000 6.594 0.000
0.000 0.000 3.425
Rb P I N
1 1 2 1
Cartesian
0.000 0.000 0.000
3.297 3.297 1.713
0.000 3.297 1.713
3.297 0.000 1.713
3.297 3.297 0.000
```

Symmetry: P4/mmm (123)


#two
Compound: RbPI2N
Source: Alexandria via LeMat-Bulk
Functional: PBE
Structure: optimized geometry

Structure (POSCAR):
```
RbPI2N
1.0
6.518 0.000 0.000
0.000 6.518 0.000
0.000 0.000 4.331
Rb P I N
1 1 2 1
Cartesian
0.000 0.000 0.000
3.259 3.259 2.166
0.000 3.259 0.000
3.259 0.000 0.000
0.000 0.000 2.166
```

Symmetry: P4/mmm (123)


Most stable: #one. Least stable: #two.


#one
Compound: PSIN2
Source: Alexandria via LeMat-Bulk
Functional: PBE
Structure: optimized geometry

Structure (POSCAR):
```
PSIN2
1.0
3.644 0.000 0.000
0.000 3.644 0.000
0.000 0.000 7.638
P S I N
1 1 1 2
Cartesian
0.000 0.000 0.000
1.822 1.822 3.819
1.822 1.822 0.000
0.000 1.822 3.819
1.822 0.000 3.819
```

Symmetry: P4/mmm (123)


#two
Compound: PSIN2
Source: Alexandria via LeMat-Bulk
Functional: PBE
Structure: optimized geometry

Structure (POSCAR):
```
PSIN2
1.0
3.865 0.000 0.000
0.000 3.865 0.000
0.000 0.000 6.880
P S I N
1 1 1 2
Cartesian
0.000 0.000 0.000
1.933 1.933 0.000
1.933 1.933 3.440
0.000 1.933 3.440
1.933 0.000 3.440
```

Symmetry: P4/mmm (123)


Most stable: #one. Least stable: #two.